Here is a relaxed CdPd5Au8 crystal from the Alexandria database. Energies are from GGA-PBE.

Computed properties:
Symmetry: I-4
Calculated formation energy: 0.034 eV/atom

Unit cell a=6.9379 b=6.9379 c=6.9379 alpha=110.26 beta=110.26 gamma=107.91
Fractional coordinates of all 14 atoms:
1 Cd 0.0000 0.0000 0.0000
2 Pd 0.0370 0.2204 0.5863
3 Pd 0.2500 0.7500 0.5000
4 Pd 0.5493 0.9630 0.1835
5 Pd 0.6341 0.4507 0.4137
6 Pd 0.7796 0.3659 0.8165
7 Au 0.1072 0.6727 0.7881
8 Au 0.2681 0.4988 0.1013
9 Au 0.3273 0.1154 0.4345
10 Au 0.3975 0.1668 0.8987
11 Au 0.5012 0.6025 0.7693
12 Au 0.6809 0.8928 0.5655
13 Au 0.8332 0.7319 0.2307
14 Au 0.8846 0.3191 0.2119

Here is a relaxed NaPmMgCd crystal from the Alexandria database. Energies are from GGA-PBE.

Computed properties:
Symmetry: F-43m
Calculated formation energy: -0.088 eV/atom

Unit cell a=7.4166 b=7.4166 c=7.4166 alpha=90.00 beta=90.00 gamma=90.00
Fractional coordinates of all 16 atoms:
1 Na 0.0000 0.0000 0.0000
2 Na 0.0000 0.5000 0.5000
3 Na 0.5000 0.0000 0.5000
4 Na 0.5000 0.5000 0.0000
5 Pm 0.2500 0.2500 0.2500
6 Pm 0.2500 0.7500 0.7500
7 Pm 0.7500 0.2500 0.7500
8 Pm 0.7500 0.7500 0.2500
9 Mg 0.2500 0.2500 0.7500
10 Mg 0.2500 0.7500 0.2500
11 Mg 0.7500 0.2500 0.2500
12 Mg 0.7500 0.7500 0.7500
13 Cd 0.0000 0.0000 0.5000
14 Cd 0.0000 0.5000 0.0000
15 Cd 0.5000 0.0000 0.0000
16 Cd 0.5000 0.5000 0.5000

Here is a relaxed RbCd2Hg2 crystal from the Alexandria database. Energies are from GGA-PBE.

Computed properties:
Distance to the lowest polymorph of the same formula: 31 meV/atom
Symmetry: P-1
Calculated formation energy: -0.111 eV/atom

Unit cell a=7.0398 b=7.2869 c=8.0607 alpha=66.79 beta=80.46 gamma=62.52
Fractional coordinates of all 10 atoms:
1 Rb 0.2396 0.1317 0.2380
2 Rb 0.7604 0.8683 0.7620
3 Cd 0.2280 0.5065 0.4831
4 Cd 0.2681 0.7000 0.0638
5 Cd 0.7319 0.3000 0.9362
6 Cd 0.7720 0.4935 0.5169
7 Hg 0.1604 0.1328 0.7604
8 Hg 0.3522 0.6772 0.6989
9 Hg 0.6478 0.3228 0.3011
10 Hg 0.8396 0.8672 0.2396

Here is a relaxed Zr5Cr crystal from the Alexandria database. Energies are from GGA-PBE.

Computed properties:
Symmetry: P4/mmm
Calculated formation energy: 0.094 eV/atom

Unit cell a=3.2695 b=3.2695 c=11.8869 alpha=90.00 beta=90.00 gamma=90.00
Fractional coordinates of all 6 atoms:
1 Zr 0.0000 0.0000 0.0000
2 Zr 0.0000 0.0000 0.3658
3 Zr 0.0000 0.0000 0.6342
4 Zr 0.5000 0.5000 0.1831
5 Zr 0.5000 0.5000 0.8169
6 Cr 0.5000 0.5000 0.5000